Entry from Alexandria: a relaxed ScAl2RuF crystal (PBE).

- formation energy (no corrections) (eV/atom) = 0.790
- space group = No. 123

Lattice parameters (Å, degrees): 5.4783 5.4783 4.3867 90.00 90.00 90.00
Element x y z (fractional)
Sc 0.0000 0.0000 0.0000
Al 0.0000 0.5000 0.0000
Al 0.5000 0.0000 0.0000
Ru 0.0000 0.0000 0.5000
F 0.5000 0.5000 0.5000